Record 1
# MgBe2P

A relaxed structure of MgBe2P (PBE, Alexandria).

a b c (Å): 4.736 4.736 4.736
angles (deg): 135.74 135.00 64.96
Element x y z (fractional)
P1 0.250 0.750 0.500
Mg1 0.750 0.250 0.500
Be1 0.003 0.003 0.000
Be2 0.497 0.497 0.000

* electronic total energy: -0.2413 Ry per atom
* calculated density: 2.36 g cm⁻³
* SG: Immm
* energy of formation: 0.332 eV per atom

Record 2
# YTh2Sc

A relaxed structure of YTh2Sc (PBE, Alexandria).

a b c (Å): 3.529 3.529 9.739
angles (deg): 90.00 90.00 90.00
Element x y z (fractional)
Y1 0.500 0.500 0.500
Sc1 0.500 0.500 0.000
Th1 0.000 0.000 0.763
Th2 0.000 0.000 0.237

* electronic total energy: -0.5045 Ry per atom
* calculated density: 8.19 g cm⁻³
* SG: P4/mmm
* energy of formation: 0.045 eV per atom

Record 3
# BeTl4Ru

A relaxed structure of BeTl4Ru (PBE, Alexandria).

a b c (Å): 6.082 6.082 6.082
angles (deg): 60.00 60.00 60.00
Element x y z (fractional)
Be1 0.750 0.750 0.750
Tl1 0.875 0.375 0.375
Tl2 0.375 0.375 0.875
Tl3 0.375 0.875 0.375
Tl4 0.375 0.375 0.375
Ru1 0.000 0.000 0.000

* electronic total energy: -0.1864 Ry per atom
* calculated density: 9.68 g cm⁻³
* SG: F-43m
* energy of formation: 1.209 eV per atom

Record 4
# Sr4As2Br5

A relaxed structure of Sr4As2Br5 (PBE, Alexandria).

a b c (Å): 4.832 10.343 9.761
angles (deg): 107.35 104.34 90.00
Element x y z (fractional)
Sr1 0.662 0.591 0.324
Sr2 0.012 0.788 0.024
Sr3 0.338 0.409 0.676
Sr4 0.988 0.212 0.976
As1 0.498 0.612 0.995
As2 0.502 0.388 0.005
Br1 0.177 0.791 0.353
Br2 0.823 0.209 0.647
Br3 0.168 0.382 0.336
Br4 0.500 0.000 0.000
Br5 0.832 0.618 0.664

* electronic total energy: -0.2819 Ry per atom
* calculated density: 3.32 g cm⁻³
* SG: C2/m
* energy relative to the elements, uncorrected: -1.62 eV per atom

Record 5
# RbGeW3

A relaxed structure of RbGeW3 (PBE, Alexandria).

a b c (Å): 4.752 4.752 4.752
angles (deg): 90.00 90.00 90.00
Element x y z (fractional)
Ge1 0.500 0.500 0.500
Rb1 0.000 0.000 0.000
W1 0.000 0.500 0.000
W2 0.000 0.000 0.500
W3 0.500 0.000 0.000

* electronic total energy: -0.3594 Ry per atom
* calculated density: 10.98 g cm⁻³
* SG: Pm-3m
* energy of formation: 3.999 eV per atom

Record 6
# Cu2AgP

A relaxed structure of Cu2AgP (PBE, Alexandria).

a b c (Å): 4.416 4.416 3.000
angles (deg): 89.95 89.95 104.42
Element x y z (fractional)
Ag1 0.000 0.500 0.500
Cu1 0.000 0.000 0.000
Cu2 0.500 0.500 0.000
P1 0.500 0.000 0.500

* electronic total energy: -0.2868 Ry per atom
* calculated density: 7.79 g cm⁻³
* SG: Cmmm
* energy of formation: 0.211 eV per atom

Record 7
# ZnCu4Te

A relaxed structure of ZnCu4Te (PBE, Alexandria).

a b c (Å): 5.036 5.036 5.036
angles (deg): 60.00 60.00 60.00
Element x y z (fractional)
Zn1 0.000 0.000 0.000
Cu1 0.877 0.374 0.374
Cu2 0.374 0.374 0.877
Cu3 0.374 0.877 0.374
Cu4 0.374 0.374 0.374
Te1 0.750 0.750 0.750

* electronic total energy: -0.2465 Ry per atom
* calculated density: 8.22 g cm⁻³
* SG: F-43m
* energy relative to the elements, uncorrected: 0.11 eV per atom

Record 8
# ZrScSi2

A relaxed structure of ZrScSi2 (PBE, Alexandria).

a b c (Å): 3.006 3.006 7.898
angles (deg): 90.00 90.00 95.77
Element x y z (fractional)
Sc1 0.500 0.500 0.750
Si1 0.000 0.000 0.999
Si2 0.000 0.000 0.501
Zr1 0.500 0.500 0.250

* electronic total energy: -0.5108 Ry per atom
* calculated density: 4.50 g cm⁻³
* SG: Cmmm
* energy relative to the elements, uncorrected: -0.52 eV per atom

Record 9
# TcSbH2

A relaxed structure of TcSbH2 (PBE, Alexandria).

a b c (Å): 3.326 3.326 4.845
angles (deg): 110.11 110.08 89.92
Element x y z (fractional)
Tc1 0.397 0.924 0.907
Sb1 0.148 0.174 0.407
H1 0.487 0.507 0.072
H2 0.814 0.844 0.741

* electronic total energy: -0.3917 Ry per atom
* calculated density: 7.86 g cm⁻³
* SG: P1

Record 10
# Eu2PaPd

A relaxed structure of Eu2PaPd (PBE, Alexandria).

a b c (Å): 3.298 3.298 11.357
angles (deg): 81.65 81.65 60.00
Element x y z (fractional)
Eu1 0.097 0.097 0.708
Eu2 0.903 0.903 0.292
Pa1 0.000 0.000 0.000
Pd1 0.500 0.500 0.500

* electronic total energy: -0.6347 Ry per atom
* calculated density: 10.10 g cm⁻³
* SG: R-3m
* energy of formation: 0.174 eV per atom

Record 11
# Tb2Dy5In4

A relaxed structure of Tb2Dy5In4 (PBE, Alexandria).

a b c (Å): 3.431 8.598 10.514
angles (deg): 83.88 90.00 90.00
Element x y z (fractional)
Tb1 0.000 0.916 0.639
Tb2 0.000 0.084 0.361
Dy1 0.000 0.464 0.332
Dy2 0.000 0.837 0.144
Dy3 0.000 0.500 0.000
Dy4 0.000 0.163 0.856
Dy5 0.000 0.536 0.668
In1 0.500 0.248 0.577
In2 0.500 0.801 0.884
In3 0.500 0.752 0.423
In4 0.500 0.199 0.116

* electronic total energy: -0.3069 Ry per atom
* calculated density: 8.56 g cm⁻³
* SG: P2/m
* energy of formation: -0.247 eV per atom

Record 12
# NaNpPaN4

A relaxed structure of NaNpPaN4 (PBE, Alexandria).

a b c (Å): 4.135 4.135 6.805
angles (deg): 107.69 107.69 90.00
Element x y z (fractional)
Na1 0.653 0.653 0.306
Np1 0.007 0.007 0.015
Pa1 0.352 0.352 0.705
N1 0.980 0.480 0.961
N2 0.480 0.980 0.961
N3 0.838 0.838 0.676
N4 0.189 0.189 0.377

* electronic total energy: -0.6609 Ry per atom
* calculated density: 8.65 g cm⁻³
* SG: I4mm
* energy relative to the elements, uncorrected: -0.84 eV per atom

Record 13
# NaPPt3

A relaxed structure of NaPPt3 (PBE, Alexandria).

a b c (Å): 4.609 4.609 4.609
angles (deg): 90.00 90.00 90.00
Element x y z (fractional)
P1 0.500 0.500 0.500
Pt1 0.000 0.500 0.000
Pt2 0.000 0.000 0.500
Pt3 0.500 0.000 0.000
Na1 0.000 0.000 0.000

* electronic total energy: -0.2415 Ry per atom
* calculated density: 10.84 g cm⁻³
* SG: Pm-3m
* energy of formation: 1.684 eV per atom

Record 14
# Rb2NaPdF6

A relaxed structure of Rb2NaPdF6 (PBE, Alexandria).

a b c (Å): 6.205 6.205 10.973
angles (deg): 73.58 73.58 60.00
Element x y z (fractional)
Rb1 0.870 0.870 0.390
Rb2 0.130 0.130 0.610
Rb3 0.717 0.717 0.850
Rb4 0.283 0.283 0.150
Na1 0.593 0.593 0.221
Na2 0.407 0.407 0.779
Pd1 0.000 0.000 0.000
Pd2 0.500 0.500 0.500
F1 0.851 0.385 0.380
F2 0.385 0.851 0.380
F3 0.385 0.385 0.380
F4 0.149 0.615 0.620
F5 0.615 0.149 0.620
F6 0.615 0.615 0.620
F7 0.728 0.193 0.886
F8 0.193 0.728 0.886
F9 0.193 0.193 0.886
F10 0.272 0.807 0.114
F11 0.807 0.272 0.114
F12 0.807 0.807 0.114

* electronic total energy: -0.3079 Ry per atom
* calculated density: 3.98 g cm⁻³
* SG: R-3m
* energy relative to the elements, uncorrected: -2.22 eV per atom

Record 15
# AcBiP2Rh5

A relaxed structure of AcBiP2Rh5 (PBE, Alexandria).

a b c (Å): 4.115 4.115 10.433
angles (deg): 90.00 90.00 90.00
Element x y z (fractional)
Ac1 0.000 0.000 0.500
Bi1 0.000 0.000 0.000
P1 0.500 0.500 0.280
P2 0.500 0.500 0.720
Rh1 0.000 0.500 0.183
Rh2 0.500 0.000 0.183
Rh3 0.000 0.500 0.817
Rh4 0.500 0.000 0.817
Rh5 0.500 0.500 0.500

* electronic total energy: -0.5025 Ry per atom
* calculated density: 9.52 g cm⁻³
* SG: P4/mmm
* energy of formation: -0.663 eV per atom

Record 16
# Hf3CdIr

A relaxed structure of Hf3CdIr (PBE, Alexandria).

a b c (Å): 5.033 5.033 5.033
angles (deg): 90.00 90.00 90.00
Element x y z (fractional)
Ir1 0.000 0.000 0.000
Hf1 0.000 0.500 0.000
Hf2 0.000 0.000 0.500
Hf3 0.500 0.000 0.000
Cd1 0.500 0.500 0.500

* electronic total energy: -0.5687 Ry per atom
* calculated density: 10.95 g cm⁻³
* SG: Pm-3m
* energy of formation: 0.189 eV per atom

Record 17
# Ru3Pt5

A relaxed structure of Ru3Pt5 (PBE, Alexandria).

a b c (Å): 7.650 4.970 7.650
angles (deg): 90.00 120.00 90.00
Element x y z (fractional)
Ru1 0.406 0.750 0.000
Ru2 0.594 0.250 0.000
Ru3 0.000 0.750 0.406
Ru4 0.406 0.250 0.406
Ru5 0.000 0.250 0.594
Ru6 0.594 0.750 0.594
Pt1 0.216 0.250 0.000
Pt2 0.784 0.750 0.000
Pt3 0.000 0.250 0.216
Pt4 0.216 0.750 0.216
Pt5 0.667 0.000 0.333
Pt6 0.667 0.500 0.333
Pt7 0.333 0.000 0.667
Pt8 0.333 0.500 0.667
Pt9 0.000 0.750 0.784
Pt10 0.784 0.250 0.784

* electronic total energy: -0.5079 Ry per atom
* calculated density: 16.86 g cm⁻³
* SG: P6_3/mcm
* energy of formation: 0.344 eV per atom

Record 18
# Hf3CuTe

A relaxed structure of Hf3CuTe (PBE, Alexandria).

a b c (Å): 4.879 4.879 4.879
angles (deg): 90.00 90.00 90.00
Element x y z (fractional)
Te1 0.500 0.500 0.500
Hf1 0.000 0.500 0.000
Hf2 0.000 0.000 0.500
Hf3 0.500 0.000 0.000
Cu1 0.000 0.000 0.000

* electronic total energy: -0.5215 Ry per atom
* calculated density: 10.39 g cm⁻³
* SG: Pm-3m
* energy relative to the elements, uncorrected: 0.32 eV per atom

Record 19
# AcHfZr2

A relaxed structure of AcHfZr2 (PBE, Alexandria).

a b c (Å): 3.837 3.837 7.467
angles (deg): 90.00 90.00 90.00
Element x y z (fractional)
Ac1 0.500 0.500 0.500
Hf1 0.500 0.500 0.000
Zr1 0.000 0.000 0.804
Zr2 0.000 0.000 0.196

* electronic total energy: -0.5585 Ry per atom
* calculated density: 8.88 g cm⁻³
* SG: P4/mmm
* energy of formation: 0.191 eV per atom

Record 20
# K3AgSn

A relaxed structure of K3AgSn (PBE, Alexandria).

a b c (Å): 8.169 8.169 8.382
angles (deg): 107.85 119.62 100.27
Element x y z (fractional)
K1 0.832 0.010 0.235
K2 0.225 0.403 0.235
K3 0.775 0.597 0.765
K4 0.730 0.441 0.172
K5 0.168 0.990 0.765
K6 0.270 0.559 0.828
Ag1 0.618 0.787 0.405
Ag2 0.382 0.213 0.595
Sn1 0.682 0.065 0.747
Sn2 0.318 0.935 0.253

* electronic total energy: -0.1496 Ry per atom
* calculated density: 2.69 g cm⁻³
* SG: C2/m
* energy of formation: -0.007 eV per atom